Below is an optimized crystal structure of LaAl4Tc, with properties calculated at the PBE level.

abc: 7.8750 4.2332 7.0623
angles: 90.00 90.00 90.00
Fractional coordinates of all 12 atoms:
La 0.2500 0.0000 0.1286
La 0.7500 0.0000 0.8714
Al 0.0000 0.0000 0.5000
Al 0.0666 0.5000 0.8015
Al 0.2500 0.5000 0.4662
Al 0.4334 0.5000 0.8015
Al 0.5000 0.0000 0.5000
Al 0.5666 0.5000 0.1985
Al 0.7500 0.5000 0.5338
Al 0.9334 0.5000 0.1985
Tc 0.2500 0.0000 0.7018
Tc 0.7500 0.0000 0.2982

Summary:
N(E_F) (states/eV/atom): 0.77
SG: No. 51
Electronic total energy (eV/atom): -5.478
Calculated formation energy (eV/atom): -0.434
Total magnetization (μB per formula unit): 0.00

---

Below is an optimized crystal structure of LaAl2Tc, with properties calculated at the PBE level.

abc: 4.6489 4.6489 5.7104
angles: 106.88 106.88 47.70
Fractional coordinates of all 4 atoms:
La 0.0000 0.0000 0.0000
Al 0.2184 0.2184 0.6365
Al 0.7816 0.7816 0.3635
Tc 0.5000 0.5000 0.5000

Summary:
N(E_F) (states/eV/atom): 0.58
SG: No. 12
Electronic total energy (eV/atom): -5.928
Calculated formation energy (eV/atom): -0.233
Total magnetization (μB per formula unit): 0.00

---

Below is an optimized crystal structure of LaAl2Tc, with properties calculated at the PBE level.

abc: 5.7073 5.7073 5.7073
angles: 145.35 127.08 64.82
Fractional coordinates of all 4 atoms:
La 0.0000 0.0000 0.0000
Al 0.2897 0.7897 0.5000
Al 0.7103 0.2103 0.5000
Tc 0.5000 0.5000 0.0000

Summary:
N(E_F) (states/eV/atom): 0.50
SG: No. 71
Electronic total energy (eV/atom): -5.716
Calculated formation energy (eV/atom): -0.021
Total magnetization (μB per formula unit): 0.00

---

Below is an optimized crystal structure of La2AlTc, with properties calculated at the PBE level.

abc: 6.2493 6.2493 6.2493
angles: 146.50 132.58 59.30
Fractional coordinates of all 4 atoms:
La 0.0000 0.0000 0.0000
La 0.6993 0.1993 0.5000
Al 0.4028 0.4028 0.0000
Tc 0.2377 0.7377 0.5000

Summary:
N(E_F) (states/eV/atom): 0.96
SG: No. 44
Electronic total energy (eV/atom): -6.069
Calculated formation energy (eV/atom): -0.078
Total magnetization (μB per formula unit): 0.00